Density functional theory data (PBE) for crystalline Hf8Al3Si2 at its relaxed geometry.

Properties
The formation energy (no corrections) comes out at -150.3 meV per atom.

a b c (Å): 7.494 7.494 5.329
angles (deg): 92.25 92.25 64.07
Atoms (fractional coordinates):
Hf: 0.062 0.676 0.379
Hf: 0.106 0.106 0.117
Hf: 0.323 0.323 0.902
Hf: 0.324 0.938 0.621
Hf: 0.676 0.062 0.379
Hf: 0.677 0.677 0.098
Hf: 0.894 0.894 0.883
Hf: 0.938 0.324 0.621
Al: 0.303 0.697 0.000
Al: 0.500 0.500 0.500
Al: 0.697 0.303 0.000
Si: 0.284 0.284 0.406
Si: 0.716 0.716 0.594



Density functional theory data (PBE) for crystalline La2TbNd5Sc at its relaxed geometry.

Properties
The calculation puts the formation energy from the elements at 0.11 eV per atom.

a b c (Å): 11.425 11.425 10.238
angles (deg): 90.00 90.00 152.15
Atoms (fractional coordinates):
La: 0.117 0.883 0.506
La: 0.117 0.883 0.994
La: 0.883 0.117 0.006
La: 0.883 0.117 0.494
Tb: 0.397 0.603 0.750
Tb: 0.603 0.397 0.250
Nd: 0.001 0.999 0.250
Nd: 0.276 0.724 0.563
Nd: 0.276 0.724 0.937
Nd: 0.372 0.628 0.250
Nd: 0.500 0.500 0.000
Nd: 0.500 0.500 0.500
Nd: 0.628 0.372 0.750
Nd: 0.724 0.276 0.063
Nd: 0.724 0.276 0.437
Nd: 0.999 0.001 0.750
Sc: 0.213 0.787 0.250
Sc: 0.787 0.213 0.750



Density functional theory data (PBE) for crystalline HfCu4Ag at its relaxed geometry.

Properties
The calculation puts the formation energy from the elements at -0.14 eV per atom.

a b c (Å): 4.934 4.934 4.934
angles (deg): 60.00 60.00 60.00
Atoms (fractional coordinates):
Hf: 0.000 0.000 0.000
Cu: 0.126 0.625 0.625
Cu: 0.625 0.126 0.625
Cu: 0.625 0.625 0.126
Cu: 0.625 0.625 0.625
Ag: 0.250 0.250 0.250



Density functional theory data (PBE) for crystalline NbSiMoW2 at its relaxed geometry.

Properties
The formation energy (no corrections) comes out at 2324.0 meV per atom.

a b c (Å): 4.780 4.780 4.713
angles (deg): 90.00 90.00 90.00
Atoms (fractional coordinates):
Nb: 0.000 0.000 0.000
Si: 0.500 0.500 0.500
Mo: 0.000 0.000 0.500
W: 0.000 0.500 0.000
W: 0.500 0.000 0.000



Density functional theory data (PBE) for crystalline KY at its relaxed geometry.

Properties
The calculation puts the formation energy from the elements at 1.81 eV per atom.

a b c (Å): 6.100 6.100 6.100
angles (deg): 60.00 60.00 60.00
Atoms (fractional coordinates):
K: 0.000 0.000 0.000
Y: 0.750 0.750 0.750



Density functional theory data (PBE) for crystalline LaMgIr at its relaxed geometry.

Properties
The calculation puts the formation energy from the elements at -0.63 eV per atom.

a b c (Å): 7.313 4.228 8.789
angles (deg): 90.00 90.00 90.00
Atoms (fractional coordinates):
La: 0.035 0.250 0.180
La: 0.465 0.750 0.680
La: 0.535 0.250 0.320
La: 0.965 0.750 0.820
Mg: 0.133 0.250 0.557
Mg: 0.367 0.750 0.057
Mg: 0.633 0.250 0.943
Mg: 0.867 0.750 0.443
Ir: 0.246 0.750 0.371
Ir: 0.254 0.250 0.871
Ir: 0.746 0.750 0.129
Ir: 0.754 0.250 0.629



Number 1: calculated volume 20.7 Å³ per atom. Number 2: calculated volume 34.7 Å³ per atom. Number 3: calculated volume 14.2 Å³ per atom. Number 4: calculated volume 21.5 Å³ per atom. Number 5: calculated volume 80.3 Å³ per atom. Number 6: calculated volume 22.6 Å³ per atom.